Computed, not measured: CaTmZnAg after structural relaxation at the PBE level of DFT.

Values from the calculation:
Energy relative to the elements in eV per atom: -0.28
Offset from the most stable computed form in eV per formula unit: 0.14

Cell lengths 5.102, 5.102, 5.102 Å; angles 60.00, 60.00, 60.00 degrees
Fractional coordinates of all 4 atoms:
Ag 0.250 0.250 0.250
Zn 0.750 0.750 0.750
Ca 0.500 0.500 0.500
Tm 0.000 0.000 0.000

***

Computed, not measured: CaTmZn2Ag5 after structural relaxation at the PBE level of DFT.

Values from the calculation:
Energy relative to the elements in eV per atom: -0.16

Cell lengths 4.347, 4.347, 9.620 Å; angles 90.00, 90.00, 90.00 degrees
Fractional coordinates of all 9 atoms:
Zn 0.500 0.500 0.123
Zn 0.500 0.500 0.877
Ag 0.500 0.000 0.272
Ag 0.000 0.500 0.728
Ag 0.500 0.500 0.500
Ag 0.000 0.500 0.272
Ag 0.500 0.000 0.728
Ca 0.000 0.000 0.500
Tm 0.000 0.000 0.000

***

Computed, not measured: CaTmZnAg after structural relaxation at the PBE level of DFT.

Values from the calculation:
Energy relative to the elements in eV per atom: -0.31
Offset from the most stable computed form in eV per formula unit: 0.00

Cell lengths 3.622, 3.622, 7.234 Å; angles 90.00, 90.00, 90.00 degrees
Fractional coordinates of all 4 atoms:
Zn 0.000 0.000 0.381
Tm 0.500 0.500 0.601
Ca 0.500 0.500 0.113
Ag 0.000 0.000 0.834

***

Computed, not measured: CaV3Ag after structural relaxation at the PBE level of DFT.

Values from the calculation:
Energy relative to the elements in eV per atom: 2.17
Offset from the most stable computed form in eV per formula unit: 4.03

Cell lengths 4.614, 4.614, 4.614 Å; angles 90.00, 90.00, 90.00 degrees
Last column: magnetic moment on the atom in μB.
Fractional coordinates of all 5 atoms:
Ca 0.000 0.000 0.000  0.25
V 0.000 0.500 0.000  1.74
V 0.000 0.000 0.500  1.74
V 0.500 0.000 0.000  1.74
Ag 0.500 0.500 0.500  0.01

***

Computed, not measured: CaVAg after structural relaxation at the PBE level of DFT.

Values from the calculation:
Energy relative to the elements in eV per atom: 0.28
Offset from the most stable computed form in eV per formula unit: 0.32

Cell lengths 6.891, 5.133, 5.162 Å; angles 60.19, 122.07, 111.74 degrees
Fractional coordinates of all 6 atoms:
V 0.100 0.559 0.516
V 0.909 0.356 0.733
Ag 0.656 0.649 0.893
Ag 0.119 0.889 0.875
Ca 0.353 0.262 0.363
Ca 0.688 0.993 0.237

***

Computed, not measured: CaVAg after structural relaxation at the PBE level of DFT.

Values from the calculation:
Energy relative to the elements in eV per atom: 0.24
Offset from the most stable computed form in eV per formula unit: 0.20

Cell lengths 6.080, 5.891, 4.410 Å; angles 109.27, 113.98, 87.86 degrees
Fractional coordinates of all 6 atoms:
Ca 0.434 0.296 0.151
Ca 0.816 0.914 0.656
V 0.012 0.386 0.432
V 0.907 0.492 0.043
Ag 0.440 0.696 0.860
Ag 0.217 0.921 0.354

***

Computed, not measured: CaVAg after structural relaxation at the PBE level of DFT.

Values from the calculation:
Energy relative to the elements in eV per atom: 0.26
Offset from the most stable computed form in eV per formula unit: 0.24

Cell lengths 5.902, 4.237, 5.967 Å; angles 93.07, 95.92, 69.56 degrees
Fractional coordinates of all 6 atoms:
Ca 0.796 0.137 0.473
Ca 0.616 0.742 0.952
Ag 0.203 0.447 0.713
Ag 0.359 0.838 0.439
V 0.164 0.409 0.169
V 0.080 0.056 0.030

***

Computed, not measured: CaVAg after structural relaxation at the PBE level of DFT.

Values from the calculation:
Energy relative to the elements in eV per atom: 0.23
Offset from the most stable computed form in eV per formula unit: 0.15

Cell lengths 4.675, 3.267, 8.583 Å; angles 89.91, 96.12, 90.93 degrees
Fractional coordinates of all 6 atoms:
Ag 0.973 0.136 0.729
Ag 0.432 0.148 0.529
Ca 0.501 0.645 0.867
Ca 0.905 0.639 0.392
V 0.370 0.037 0.186
V 0.037 0.248 0.073

***

Computed, not measured: CaVAg after structural relaxation at the PBE level of DFT.

Values from the calculation:
Energy relative to the elements in eV per atom: 0.71
Offset from the most stable computed form in eV per formula unit: 1.60

Cell lengths 4.339, 4.339, 7.545 Å; angles 90.00, 90.00, 90.00 degrees
Last column: magnetic moment on the atom in μB.
Fractional coordinates of all 6 atoms:
V 0.500 0.000 0.836  2.80
V 0.000 0.500 0.164  2.80
Ca 0.500 0.500 0.500  0.05
Ca 0.000 0.000 0.500  0.05
Ag 0.000 0.500 0.798  0.05
Ag 0.500 0.000 0.202  0.05

***

Computed, not measured: CaVAg after structural relaxation at the PBE level of DFT.

Values from the calculation:
Energy relative to the elements in eV per atom: 0.48
Offset from the most stable computed form in eV per formula unit: 0.91

Cell lengths 8.508, 6.601, 4.919 Å; angles 90.00, 90.00, 90.00 degrees
Last column: magnetic moment on the atom in μB.
Fractional coordinates of all 12 atoms:
Ag 0.667 0.250 0.000  0.06
Ag 0.167 0.250 0.500  0.06
Ag 0.833 0.750 0.500  0.06
Ag 0.333 0.750 0.000  0.06
Ca 0.000 0.000 0.000  0.12
Ca 0.500 0.500 0.500  0.12
Ca 0.500 0.000 0.500  0.12
Ca 0.000 0.500 0.000  0.12
V 0.834 0.250 0.500  2.84
V 0.666 0.750 0.000  2.84
V 0.166 0.750 0.500  2.84
V 0.334 0.250 0.000  2.84

***

Computed, not measured: CaVAg after structural relaxation at the PBE level of DFT.

Values from the calculation:
Energy relative to the elements in eV per atom: 0.26
Offset from the most stable computed form in eV per formula unit: 0.25

Cell lengths 6.436, 5.095, 5.091 Å; angles 105.31, 58.48, 86.49 degrees
Fractional coordinates of all 6 atoms:
V 0.203 0.421 0.076
V 0.203 0.122 0.776
Ca 0.848 0.053 0.500
Ca 0.559 0.490 0.352
Ag 0.973 0.641 0.788
Ag 0.433 0.902 0.064

***

Computed, not measured: CaVAg after structural relaxation at the PBE level of DFT.

Values from the calculation:
Energy relative to the elements in eV per atom: 0.24
Offset from the most stable computed form in eV per formula unit: 0.19

Cell lengths 4.046, 3.192, 10.056 Å; angles 82.93, 93.34, 89.55 degrees
Fractional coordinates of all 6 atoms:
V 0.391 0.288 0.175
V 0.014 0.587 0.084
Ag 0.442 0.217 0.558
Ag 0.964 0.659 0.701
Ca 0.491 0.086 0.882
Ca 0.915 0.790 0.377

***

> What is the energy relative to the elements in the eleventh record?

0.26 eV per atom